A plane-wave DFT calculation with PBE was carried out for a relaxed Sm3Ga2Pt7 crystal.

Lattice parameters (Å, degrees): 4.081 4.129 14.930 97.95 90.00 90.00
Fractional positions:
Sm: 0.500 0.500 0.000
Sm: 0.500 0.702 0.405
Sm: 0.500 0.298 0.595
Ga: 0.000 0.917 0.834
Ga: 0.000 0.083 0.166
Pt: 0.000 0.368 0.736
Pt: 0.000 0.787 0.574
Pt: 0.000 0.000 0.000
Pt: 0.000 0.632 0.264
Pt: 0.500 0.133 0.266
Pt: 0.500 0.867 0.734
Pt: 0.000 0.213 0.426

SG	Cmmm (65)
formation energy	-838	meV/atom
magnetic moment	0.00	μB per cell
density of states at the Fermi level	3.68	states/eV/f.u.